A relaxed structure of HoTcS3, computed with PBE.

## Properties
- VASP energy (eV for the cell shown) = -63.8

Cell lengths 6.616, 6.616, 6.398 Å; angles 90.00, 90.00, 120.00 degrees
Atoms (fractional coordinates):
Ho 0.667 0.333 0.500
Ho 0.333 0.667 0.500
S 0.662 0.000 0.248
S 0.338 0.338 0.248
S 0.000 0.662 0.248
S 0.338 0.000 0.752
S 0.000 0.338 0.752
S 0.662 0.662 0.752
Tc 0.000 0.000 0.173
Tc 0.000 0.000 0.827

***

A relaxed structure of Ho3TeS2, computed with PBE.

## Properties
- VASP energy (eV for the cell shown) = -35.4

Cell lengths 4.018, 4.018, 9.952 Å; angles 90.00, 90.00, 120.00 degrees
Atoms (fractional coordinates):
Ho 0.000 0.000 0.000
Ho 0.333 0.667 0.295
Ho 0.667 0.333 0.705
S 0.667 0.333 0.152
S 0.333 0.667 0.848
Te 0.000 0.000 0.500

***

A relaxed structure of Ho3ThS6, computed with PBE.

## Properties
- VASP energy (eV for the cell shown) = -133.0

Cell lengths 11.008, 3.927, 11.297 Å; angles 90.00, 108.22, 90.00 degrees
Atoms (fractional coordinates):
Ho 0.179 0.250 0.001
Ho 0.934 0.250 0.334
Ho 0.339 0.750 0.418
Ho 0.661 0.250 0.582
Ho 0.066 0.750 0.666
Ho 0.821 0.750 0.999
S 0.383 0.750 0.034
S 0.980 0.250 0.114
S 0.760 0.750 0.227
S 0.308 0.250 0.249
S 0.582 0.750 0.405
S 0.104 0.750 0.439
S 0.896 0.250 0.561
S 0.418 0.250 0.595
S 0.692 0.750 0.751
S 0.240 0.250 0.773
S 0.020 0.750 0.886
S 0.617 0.250 0.966
Th 0.548 0.250 0.196
Th 0.452 0.750 0.804

***

A relaxed structure of HoTm2S3, computed with PBE.

## Properties
- VASP energy (eV for the cell shown) = -37.6

Cell lengths 3.845, 3.845, 9.449 Å; angles 90.00, 90.00, 120.00 degrees
Atoms (fractional coordinates):
Ho 0.000 0.000 0.500
S 0.000 0.000 0.000
S 0.667 0.333 0.330
S 0.333 0.667 0.670
Tm 0.333 0.667 0.167
Tm 0.667 0.333 0.833

***

A relaxed structure of HoTmS4, computed with PBE.

## Properties
- VASP energy (eV for the cell shown) = -35.8

Cell lengths 4.853, 4.853, 7.151 Å; angles 95.78, 95.78, 52.78 degrees
Atoms (fractional coordinates):
Ho 0.823 0.823 0.278
S 0.392 0.392 0.049
S 0.138 0.138 0.344
S 0.863 0.863 0.660
S 0.607 0.607 0.946
Tm 0.176 0.176 0.723

***

A relaxed structure of YHoS4, computed with PBE.

## Properties
- VASP energy (eV for the cell shown) = -36.3

Cell lengths 4.515, 4.515, 9.469 Å; angles 104.36, 104.36, 56.75 degrees
Atoms (fractional coordinates):
Ho 0.267 0.267 0.800
S 0.433 0.433 0.089
S 0.203 0.203 0.367
S 0.657 0.657 0.639
S 0.601 0.601 0.856
Y 0.839 0.839 0.248